# BaAlCu2

A relaxed BaAlCu2 crystal (PBE, Alexandria via LeMat-Bulk).

```
4
Lattice="-3.386 4.109 0.315 -1.537 -0.809 -5.043 -0.392 -3.016 4.382" Properties=species:S:1:pos:R:3 pbc="T T T"
Ba -2.192 -1.089 -1.510
Cu -4.489 3.010 -4.312
Cu -3.130 1.379 1.156
Al -2.887 1.936 -2.774
```

As for the space group: Imm2. The volume comes out at 25.16 Å³ per atom. Its formation energy from the elements is 0.190 eV per atom. For the total DFT energy (no corrections), the calculation gives -3.27 eV per atom. As for the total magnetization: 0.000 μB per formula unit. Its density of states at the Fermi level is 3.12 states/eV/f.u.